Compound: Sr2CeSn3Rh4
Source: the Alexandria database
Functional: GGA-PBE
Structure: relaxed

Summary:
crystal system = tetragonal
density of states at the Fermi level = 0.68 states/eV per atom
theoretical density = 7.6 g/cm³
energy of formation = -0.684 eV/atom

The structure in CIF format:
```
data_Sr2CeSn3Rh4
_chemical_formula_sum 'Sr2 Ce1 Sn3 Rh4'
_cell_length_a 4.592
_cell_length_b 4.592
_cell_length_c 11.158
_cell_angle_alpha 90.00
_cell_angle_beta 90.00
_cell_angle_gamma 90.00
_space_group_name_H-M_alt 'P -4 m 2'
_space_group_IT_number 115
loop_
_space_group_symop_operation_xyz
'x,y,z'
'y,-x,-z'
'-x,-y,z'
'-y,x,-z'
'-x,y,z'
'-y,-x,-z'
'x,-y,z'
'y,x,-z'
loop_
_atom_site_label
_atom_site_fract_x
_atom_site_fract_y
_atom_site_fract_z
Sr1 0.000 0.500 0.228
Ce1 0.000 0.000 0.500
Sn1 0.000 0.500 0.876
Sn2 0.500 0.500 0.500
Rh1 0.000 0.000 0.000
Rh2 0.000 0.500 0.636
Rh3 0.500 0.500 0.000
```

=====

Compound: SrCeRh2
Source: the Alexandria database
Functional: GGA-PBE
Structure: relaxed

Summary:
crystal system = tetragonal
density of states at the Fermi level = 0.90 states/eV per atom
theoretical density = 7.9 g/cm³
energy of formation = -0.535 eV/atom

The structure in CIF format:
```
data_SrCeRh2
_chemical_formula_sum 'Sr1 Ce1 Rh2'
_cell_length_a 3.502
_cell_length_b 3.502
_cell_length_c 7.401
_cell_angle_alpha 90.00
_cell_angle_beta 90.00
_cell_angle_gamma 90.00
_space_group_name_H-M_alt 'P 4/m m m'
_space_group_IT_number 123
_space_group_name_Hall '-P 4 2'
loop_
_atom_site_label
_atom_site_fract_x
_atom_site_fract_y
_atom_site_fract_z
Sr1 0.000 0.000 0.000
Ce1 0.000 0.000 0.500
Rh1 0.500 0.500 0.299
```

=====

Compound: SrCeRh
Source: the Alexandria database
Functional: GGA-PBE
Structure: relaxed

Summary:
crystal system = monoclinic
density of states at the Fermi level = 1.75 states/eV per atom
theoretical density = 5.5 g/cm³
energy of formation = -0.357 eV/atom

The structure in CIF format:
```
data_SrCeRh
_chemical_formula_sum 'Sr8 Ce8 Rh8'
_cell_length_a 21.150
_cell_length_b 4.628
_cell_length_c 8.119
_cell_angle_alpha 90.00
_cell_angle_beta 91.86
_cell_angle_gamma 90.00
_space_group_name_H-M_alt 'C 1 2/m 1'
_space_group_IT_number 12
loop_
_space_group_symop_operation_xyz
'x,y,z'
'-x,-y,-z'
'-x,y,-z'
'x,-y,z'
'x+1/2,y+1/2,z'
'-x+1/2,-y+1/2,-z'
'-x+1/2,y+1/2,-z'
'x+1/2,-y+1/2,z'
loop_
_atom_site_label
_atom_site_fract_x
_atom_site_fract_y
_atom_site_fract_z
Sr1 0.075 0.000 0.329
Sr2 0.089 0.500 0.868
Ce1 0.209 0.000 0.619
Ce2 0.230 0.000 0.106
Rh1 0.165 0.500 0.535
Rh2 0.174 0.500 0.198
```

=====

Compound: Sr2CeRh2
Source: the Alexandria database
Functional: GGA-PBE
Structure: relaxed

Summary:
crystal system = monoclinic
density of states at the Fermi level = 0.81 states/eV per atom
theoretical density = 6.1 g/cm³
energy of formation = -0.473 eV/atom

The structure in CIF format:
```
data_Sr2CeRh2
_chemical_formula_sum 'Sr8 Ce4 Rh8'
_cell_length_a 11.256
_cell_length_b 6.784
_cell_length_c 7.452
_cell_angle_alpha 90.00
_cell_angle_beta 96.09
_cell_angle_gamma 90.00
_space_group_name_H-M_alt 'C 1 2/c 1'
_space_group_IT_number 15
loop_
_space_group_symop_operation_xyz
'x,y,z'
'-x,-y,-z'
'-x,y,-z+1/2'
'x,-y,z+1/2'
'x+1/2,y+1/2,z'
'-x+1/2,-y+1/2,-z'
'-x+1/2,y+1/2,-z+1/2'
'x+1/2,-y+1/2,z+1/2'
loop_
_atom_site_label
_atom_site_fract_x
_atom_site_fract_y
_atom_site_fract_z
Sr1 0.153 0.109 0.148
Ce1 0.000 0.429 0.750
Rh1 0.143 0.346 0.527
```

=====

Compound: SrCeRh
Source: the Alexandria database
Functional: GGA-PBE
Structure: relaxed

Summary:
crystal system = trigonal
density of states at the Fermi level = 1.75 states/eV per atom
theoretical density = 5.6 g/cm³
energy of formation = -0.223 eV/atom

The structure in CIF format:
```
data_SrCeRh
_chemical_formula_sum 'Sr1 Ce1 Rh1'
_cell_length_a 4.4365
_cell_length_b 4.4365
_cell_length_c 5.7126
_cell_angle_alpha 90.00
_cell_angle_beta 90.00
_cell_angle_gamma 120.00
_space_group_name_H-M_alt 'P 3 m 1'
_space_group_IT_number 156
loop_
_space_group_symop_operation_xyz
'x,y,z'
'-y,x-y,z'
'-x+y,-x,z'
'-y,-x,z'
'-x+y,y,z'
'x,x-y,z'
loop_
_atom_site_label
_atom_site_fract_x
_atom_site_fract_y
_atom_site_fract_z
Sr1 0.0000 0.0000 0.0000
Ce1 0.6667 0.3333 0.4989
Rh1 0.3333 0.6667 0.4832
```

=====

Compound: Sr2CeRh9
Source: the Alexandria database
Functional: GGA-PBE
Structure: relaxed

Summary:
crystal system = trigonal
density of states at the Fermi level = 0.99 states/eV per atom
theoretical density = 9.3 g/cm³
energy of formation = -0.303 eV/atom

The structure in CIF format:
```
data_Sr2CeRh9
_chemical_formula_sum 'Sr6 Ce3 Rh27'
_cell_length_a 5.3343
_cell_length_b 5.3343
_cell_length_c 26.8462
_cell_angle_alpha 90.00
_cell_angle_beta 90.00
_cell_angle_gamma 120.00
_space_group_name_H-M_alt 'R -3 m'
_space_group_IT_number 166
_space_group_name_Hall '-R 3 2"'
loop_
_atom_site_label
_atom_site_fract_x
_atom_site_fract_y
_atom_site_fract_z
Sr1 0.0000 0.0000 0.1411
Ce1 0.0000 0.0000 0.0000
Rh1 0.0000 0.0000 0.3325
Rh2 0.0000 0.0000 0.5000
Rh3 0.0036 0.5018 0.0796
```

=====

Compound: SrCeRh
Source: the Alexandria database
Functional: GGA-PBE
Structure: relaxed

Summary:
crystal system = tetragonal
density of states at the Fermi level = 2.01 states/eV per atom
theoretical density = 6.2 g/cm³
energy of formation = -0.313 eV/atom

The structure in CIF format:
```
data_SrCeRh
_chemical_formula_sum 'Sr2 Ce2 Rh2'
_cell_length_a 3.593
_cell_length_b 3.593
_cell_length_c 13.614
_cell_angle_alpha 90.00
_cell_angle_beta 90.00
_cell_angle_gamma 90.00
_space_group_name_H-M_alt 'I 4 m m'
_space_group_IT_number 107
_space_group_name_Hall 'I 4 -2'
loop_
_atom_site_label
_atom_site_fract_x
_atom_site_fract_y
_atom_site_fract_z
Sr1 0.000 0.000 0.000
Ce1 0.000 0.000 0.255
Rh1 0.000 0.000 0.659
```

=====

Compound: SrCe2Rh9
Source: the Alexandria database
Functional: GGA-PBE
Structure: relaxed

Summary:
crystal system = trigonal
density of states at the Fermi level = 1.26 states/eV per atom
theoretical density = 10.0 g/cm³
energy of formation = -0.448 eV/atom

The structure in CIF format:
```
data_SrCe2Rh9
_chemical_formula_sum 'Sr3 Ce6 Rh27'
_cell_length_a 5.3192
_cell_length_b 5.3192
_cell_length_c 26.4045
_cell_angle_alpha 90.00
_cell_angle_beta 90.00
_cell_angle_gamma 120.00
_space_group_name_H-M_alt 'R -3 m'
_space_group_IT_number 166
_space_group_name_Hall '-R 3 2"'
loop_
_atom_site_label
_atom_site_fract_x
_atom_site_fract_y
_atom_site_fract_z
Sr1 0.0000 0.0000 0.0000
Ce1 0.0000 0.0000 0.1374
Rh1 0.0000 0.0000 0.3328
Rh2 0.0000 0.0000 0.5000
Rh3 0.0022 0.5011 0.9162
```

=====

Compound: SrCeRh2
Source: the Alexandria database
Functional: GGA-PBE
Structure: relaxed

Summary:
crystal system = trigonal
density of states at the Fermi level = 0.21 states/eV per atom
theoretical density = 7.2 g/cm³
energy of formation = -0.406 eV/atom

The structure in CIF format:
```
data_SrCeRh2
_chemical_formula_sum 'Sr3 Ce3 Rh6'
_cell_length_a 3.9519
_cell_length_b 3.9519
_cell_length_c 22.0499
_cell_angle_alpha 90.00
_cell_angle_beta 90.00
_cell_angle_gamma 120.00
_space_group_name_H-M_alt 'R -3 m'
_space_group_IT_number 166
_space_group_name_Hall '-R 3 2"'
loop_
_atom_site_label
_atom_site_fract_x
_atom_site_fract_y
_atom_site_fract_z
Sr1 0.0000 0.0000 0.0000
Ce1 0.0000 0.0000 0.5000
Rh1 0.0000 0.0000 0.2356
```

=====

Compound: SrCe2Rh
Source: the Alexandria database
Functional: GGA-PBE
Structure: relaxed

Summary:
crystal system = trigonal
density of states at the Fermi level = 3.51 states/eV per atom
theoretical density = 5.4 g/cm³
energy of formation = -0.124 eV/atom

The structure in CIF format:
```
data_SrCe2Rh
_chemical_formula_sum 'Sr3 Ce6 Rh3'
_cell_length_a 3.9409
_cell_length_b 3.9409
_cell_length_c 32.0735
_cell_angle_alpha 90.00
_cell_angle_beta 90.00
_cell_angle_gamma 120.00
_space_group_name_H-M_alt 'R -3 m'
_space_group_IT_number 166
_space_group_name_Hall '-R 3 2"'
loop_
_atom_site_label
_atom_site_fract_x
_atom_site_fract_y
_atom_site_fract_z
Sr1 0.0000 0.0000 0.0000
Ce1 0.0000 0.0000 0.1161
Rh1 0.0000 0.0000 0.5000
```

=====

Compound: Ce2TaRh
Source: the Alexandria database
Functional: GGA-PBE
Structure: relaxed

Summary:
crystal system = trigonal
density of states at the Fermi level = 2.00 states/eV per atom
theoretical density = 11.4 g/cm³
energy of formation = 0.185 eV/atom

The structure in CIF format:
```
data_Ce2TaRh
_chemical_formula_sum 'Ce6 Ta3 Rh3'
_cell_length_a 3.0056
_cell_length_b 3.0056
_cell_length_c 31.6108
_cell_angle_alpha 90.00
_cell_angle_beta 90.00
_cell_angle_gamma 120.00
_space_group_name_H-M_alt 'R -3 m'
_space_group_IT_number 166
_space_group_name_Hall '-R 3 2"'
loop_
_atom_site_label
_atom_site_fract_x
_atom_site_fract_y
_atom_site_fract_z
Ce1 0.0000 0.0000 0.0908
Ta1 0.0000 0.0000 0.0000
Rh1 0.0000 0.0000 0.5000
```

=====

Compound: Tb5Ce2Rh4
Source: the Alexandria database
Functional: GGA-PBE
Structure: relaxed

Summary:
crystal system = monoclinic
density of states at the Fermi level = 1.23 states/eV per atom
theoretical density = 8.6 g/cm³
energy of formation = -0.371 eV/atom

The structure in CIF format:
```
data_Tb5Ce2Rh4
_chemical_formula_sum 'Tb10 Ce4 Rh8'
_cell_length_a 26.547
_cell_length_b 3.657
_cell_length_c 5.890
_cell_angle_alpha 90.00
_cell_angle_beta 92.32
_cell_angle_gamma 90.00
_space_group_name_H-M_alt 'C 1 2/m 1'
_space_group_IT_number 12
loop_
_space_group_symop_operation_xyz
'x,y,z'
'-x,-y,-z'
'-x,y,-z'
'x,-y,z'
'x+1/2,y+1/2,z'
'-x+1/2,-y+1/2,-z'
'-x+1/2,y+1/2,-z'
'x+1/2,-y+1/2,z'
loop_
_atom_site_label
_atom_site_fract_x
_atom_site_fract_y
_atom_site_fract_z
Tb1 0.000 0.000 0.000
Tb2 0.061 0.500 0.498
Tb3 0.128 0.500 0.011
Ce1 0.229 0.000 0.745
Rh1 0.163 0.500 0.559
Rh2 0.195 0.000 0.226
```